[1]
DFT (GGA-PBE) results for a relaxed structure of Pu2AsPb.

- DFT formation energy: -380.8 meV/atom
- Fermi-level density of states: 12.96 states/eV/f.u.
- E: -9.6362 eV per atom
- Relative energy among the computed polymorphs: 161 meV/atom

The structure in CIF format:
```
data_Pu2AsPb
_symmetry_space_group_name_H-M 'P 4/m m m'
_symmetry_Int_Tables_number 123
_symmetry_space_group_name_Hall '-P 4 2'
_cell_length_a 4.821
_cell_length_b 4.821
_cell_length_c 4.294
_cell_angle_alpha 90.00
_cell_angle_beta 90.00
_cell_angle_gamma 90.00
loop_
_atom_site_label
_atom_site_type_symbol
_atom_site_fract_x
_atom_site_fract_y
_atom_site_fract_z
Pu1 Pu 0.000 0.500 0.000
As1 As 0.000 0.000 0.500
Pb1 Pb 0.500 0.500 0.500
```

---

[2]
DFT (GGA-PBE) results for a relaxed structure of Pu2AsPb.

- DFT formation energy: -450.9 meV/atom
- Fermi-level density of states: 20.27 states/eV/f.u.
- E: -9.7063 eV per atom
- Relative energy among the computed polymorphs: 91 meV/atom

The structure in CIF format:
```
data_Pu2AsPb
_symmetry_space_group_name_H-M 'R -3 m'
_symmetry_Int_Tables_number 166
_symmetry_space_group_name_Hall '-R 3 2"'
_cell_length_a 3.9895
_cell_length_b 3.9895
_cell_length_c 24.9572
_cell_angle_alpha 90.00
_cell_angle_beta 90.00
_cell_angle_gamma 120.00
loop_
_atom_site_label
_atom_site_type_symbol
_atom_site_fract_x
_atom_site_fract_y
_atom_site_fract_z
Pu1 Pu 0.0000 0.0000 0.2366
As1 As 0.0000 0.0000 0.5000
Pb1 Pb 0.0000 0.0000 0.0000
```

---

[3]
DFT (GGA-PBE) results for a relaxed structure of Pu2AsPb.

- DFT formation energy: -541.6 meV/atom
- Fermi-level density of states: 13.12 states/eV/f.u.
- E: -9.7970 eV per atom
- Relative energy among the computed polymorphs: 0 meV/atom

The structure in CIF format:
```
data_Pu2AsPb
_symmetry_space_group_name_H-M 'P 4/m m m'
_symmetry_Int_Tables_number 123
_symmetry_space_group_name_Hall '-P 4 2'
_cell_length_a 3.516
_cell_length_b 3.516
_cell_length_c 8.195
_cell_angle_alpha 90.00
_cell_angle_beta 90.00
_cell_angle_gamma 90.00
loop_
_atom_site_label
_atom_site_type_symbol
_atom_site_fract_x
_atom_site_fract_y
_atom_site_fract_z
Pu1 Pu 0.000 0.000 0.205
As1 As 0.500 0.500 0.000
Pb1 Pb 0.500 0.500 0.500
```

---

[4]
DFT (GGA-PBE) results for a relaxed structure of Rb3AsPb.

- DFT formation energy: -176.1 meV/atom
- Fermi-level density of states: 1.60 states/eV/f.u.
- E: -2.4282 eV per atom
- Relative energy among the computed polymorphs: 0 meV/atom

The structure in CIF format:
```
data_Rb3AsPb
_symmetry_space_group_name_H-M 'C 1 2/m 1'
_symmetry_Int_Tables_number 12
_symmetry_space_group_name_Hall '-C 2y'
_cell_length_a 12.865
_cell_length_b 11.235
_cell_length_c 9.181
_cell_angle_alpha 90.00
_cell_angle_beta 131.89
_cell_angle_gamma 90.00
loop_
_atom_site_label
_atom_site_type_symbol
_atom_site_fract_x
_atom_site_fract_y
_atom_site_fract_z
Rb1 Rb 0.058 0.000 0.353
Rb2 Rb 0.233 0.306 0.778
As1 As 0.206 0.500 0.121
Pb1 Pb 0.059 0.500 0.255
```

---

[5]
DFT (GGA-PBE) results for a relaxed structure of RbAs2Pb2.

- DFT formation energy: -46.3 meV/atom
- Fermi-level density of states: 2.24 states/eV/f.u.
- E: -3.5830 eV per atom

The structure in CIF format:
```
data_RbAs2Pb2
_symmetry_space_group_name_H-M 'P 4/m b m'
_symmetry_Int_Tables_number 127
_symmetry_space_group_name_Hall '-P 4 2ab'
_cell_length_a 8.868
_cell_length_b 8.868
_cell_length_c 3.894
_cell_angle_alpha 90.00
_cell_angle_beta 90.00
_cell_angle_gamma 90.00
loop_
_atom_site_label
_atom_site_type_symbol
_atom_site_fract_x
_atom_site_fract_y
_atom_site_fract_z
Rb1 Rb 0.000 0.000 0.000
As1 As 0.127 0.373 0.000
Pb1 Pb 0.141 0.641 0.500
```

---

[6]
DFT (GGA-PBE) results for a relaxed structure of RbAsPb2.

- DFT formation energy: 39.9 meV/atom
- Fermi-level density of states: 0.20 states/eV/f.u.
- E: -3.2185 eV per atom

The structure in CIF format:
```
data_RbAsPb2
_symmetry_space_group_name_H-M 'I -4 2 d'
_symmetry_Int_Tables_number 122
_symmetry_space_group_name_Hall 'I -4 2bw'
_cell_length_a 5.592
_cell_length_b 5.592
_cell_length_c 20.281
_cell_angle_alpha 90.00
_cell_angle_beta 90.00
_cell_angle_gamma 90.00
loop_
_atom_site_label
_atom_site_type_symbol
_atom_site_fract_x
_atom_site_fract_y
_atom_site_fract_z
Rb1 Rb 0.000 0.000 0.000
As1 As 0.000 0.000 0.500
Pb1 Pb 0.130 0.250 0.625
```

---

[7]
DFT (GGA-PBE) results for a relaxed structure of RbAsPb3.

- DFT formation energy: 177.6 meV/atom
- Fermi-level density of states: 4.66 states/eV/f.u.
- E: -3.1709 eV per atom
- Relative energy among the computed polymorphs: 0 meV/atom

The structure in CIF format:
```
data_RbAsPb3
_symmetry_space_group_name_H-M 'P m -3 m'
_symmetry_Int_Tables_number 221
_symmetry_space_group_name_Hall '-P 4 2 3'
_cell_length_a 5.803
_cell_length_b 5.803
_cell_length_c 5.803
_cell_angle_alpha 90.00
_cell_angle_beta 90.00
_cell_angle_gamma 90.00
loop_
_atom_site_label
_atom_site_type_symbol
_atom_site_fract_x
_atom_site_fract_y
_atom_site_fract_z
Rb1 Rb 0.000 0.000 0.000
As1 As 0.500 0.500 0.500
Pb1 Pb 0.000 0.500 0.500
```

---

[8]
DFT (GGA-PBE) results for a relaxed structure of RbAs3Pb.

- DFT formation energy: 556.8 meV/atom
- Fermi-level density of states: 9.09 states/eV/f.u.
- E: -3.1681 eV per atom
- Relative energy among the computed polymorphs: 0 meV/atom

The structure in CIF format:
```
data_RbAs3Pb
_symmetry_space_group_name_H-M 'P m -3 m'
_symmetry_Int_Tables_number 221
_symmetry_space_group_name_Hall '-P 4 2 3'
_cell_length_a 5.571
_cell_length_b 5.571
_cell_length_c 5.571
_cell_angle_alpha 90.00
_cell_angle_beta 90.00
_cell_angle_gamma 90.00
loop_
_atom_site_label
_atom_site_type_symbol
_atom_site_fract_x
_atom_site_fract_y
_atom_site_fract_z
Rb1 Rb 0.000 0.000 0.000
As1 As 0.000 0.500 0.500
Pb1 Pb 0.500 0.500 0.500
```

---

[9]
DFT (GGA-PBE) results for a relaxed structure of RbAsPb.

- DFT formation energy: -301.7 meV/atom
- Fermi-level density of states: 0.01 states/eV/f.u.
- E: -3.4102 eV per atom

The structure in CIF format:
```
data_RbAsPb
_symmetry_space_group_name_H-M 'R 3 m'
_symmetry_Int_Tables_number 160
_symmetry_space_group_name_Hall 'R 3 -2"'
_cell_length_a 4.3220
_cell_length_b 4.3220
_cell_length_c 20.5045
_cell_angle_alpha 90.00
_cell_angle_beta 90.00
_cell_angle_gamma 120.00
loop_
_atom_site_label
_atom_site_type_symbol
_atom_site_fract_x
_atom_site_fract_y
_atom_site_fract_z
Rb1 Rb 0.0000 0.0000 0.0000
As1 As 0.0000 0.0000 0.2131
Pb1 Pb 0.0000 0.0000 0.8119
```

---

[10]
DFT (GGA-PBE) results for a relaxed structure of RbAsPb.

- DFT formation energy: -322.7 meV/atom
- E: -3.4312 eV per atom

The structure in CIF format:
```
data_RbAsPb
_symmetry_space_group_name_H-M 'P 3 m 1'
_symmetry_Int_Tables_number 156
_symmetry_space_group_name_Hall 'P 3 -2"'
_cell_length_a 4.3829
_cell_length_b 4.3829
_cell_length_c 6.6387
_cell_angle_alpha 90.00
_cell_angle_beta 90.00
_cell_angle_gamma 120.00
loop_
_atom_site_label
_atom_site_type_symbol
_atom_site_fract_x
_atom_site_fract_y
_atom_site_fract_z
Rb1 Rb 0.0000 0.0000 0.0000
As1 As 0.6667 0.3333 0.6596
Pb1 Pb 0.3333 0.6667 0.4558
```

---

[11]
DFT (GGA-PBE) results for a relaxed structure of RbAsPb.

- DFT formation energy: -300.7 meV/atom
- Fermi-level density of states: 0.20 states/eV/f.u.
- E: -3.4092 eV per atom

The structure in CIF format:
```
data_RbAsPb
_symmetry_space_group_name_H-M 'P n m a'
_symmetry_Int_Tables_number 62
_symmetry_space_group_name_Hall '-P 2ac 2n'
_cell_length_a 8.281
_cell_length_b 4.537
_cell_length_c 12.218
_cell_angle_alpha 90.00
_cell_angle_beta 90.00
_cell_angle_gamma 90.00
loop_
_atom_site_label
_atom_site_type_symbol
_atom_site_fract_x
_atom_site_fract_y
_atom_site_fract_z
Rb1 Rb 0.129 0.250 0.135
As1 As 0.215 0.250 0.439
Pb1 Pb 0.017 0.750 0.381
```

---

[12]
DFT (GGA-PBE) results for a relaxed structure of RbAsPb2.

- DFT formation energy: -68.4 meV/atom
- Fermi-level density of states: 1.69 states/eV/f.u.
- E: -3.3268 eV per atom

The structure in CIF format:
```
data_RbAsPb2
_symmetry_space_group_name_H-M 'R -3 m'
_symmetry_Int_Tables_number 166
_symmetry_space_group_name_Hall '-R 3 2"'
_cell_length_a 5.0265
_cell_length_b 5.0265
_cell_length_c 20.4799
_cell_angle_alpha 90.00
_cell_angle_beta 90.00
_cell_angle_gamma 120.00
loop_
_atom_site_label
_atom_site_type_symbol
_atom_site_fract_x
_atom_site_fract_y
_atom_site_fract_z
Rb1 Rb 0.0000 0.0000 0.0000
As1 As 0.0000 0.0000 0.5000
Pb1 Pb 0.0000 0.0000 0.2127
```